Record 1
# Y4CrIr

A relaxed Y4CrIr crystal (PBE-GGA, Alexandria).

The structure in POSCAR format:
```
Y4CrIr
1.0
4.635 1.628 3.442
0.438 5.651 1.964
-0.863 1.232 5.807
Y Cr Ir
4 1 1
Cartesian
1.796 6.030 5.184
1.575 3.184 4.195
3.910 4.004 5.928
1.140 3.805 7.119
3.158 6.384 8.410
0.000 0.000 0.000
```

Output
**M_tot**: 3.038 μB per cell
**N(E_F)**: 5.55 states/eV/cell
**DFT formation energy**: 0.825 eV/atom

=====

Record 2
# CoBiPb

A relaxed CoBiPb crystal (PBE-GGA, Alexandria).

The structure in POSCAR format:
```
CoBiPb
1.0
-8.474 -5.085 2.922
3.181 -2.161 5.463
-2.886 4.436 -0.650
Bi Pb Co
4 4 4
Cartesian
0.826 0.899 3.960
-5.002 -0.563 2.689
-3.178 -2.248 5.046
-0.531 1.376 0.854
-3.319 -5.434 6.692
-5.603 -4.769 4.199
0.309 -2.478 4.186
-1.974 -1.813 1.693
-4.243 -3.256 2.608
-5.768 -6.207 6.413
-1.051 -3.990 5.777
0.474 -1.040 1.971
```

Output
**M_tot**: 2.283 μB per cell
**N(E_F)**: 9.51 states/eV/cell
**DFT formation energy**: 0.254 eV/atom

=====

Record 3
# AgSn2N

A relaxed AgSn2N crystal (PBE-GGA, Alexandria).

The structure in POSCAR format:
```
AgSn2N
1.0
-1.680 4.426 -3.662
-1.055 -3.988 -4.337
-6.155 -0.266 -2.389
Sn Ag N
4 2 2
Cartesian
-5.715 -0.310 -5.090
-6.937 0.458 -8.492
-2.605 1.897 -3.176
-2.524 -1.701 -4.017
0.000 0.000 0.000
-4.602 2.190 -5.025
-4.289 -2.018 -5.362
-1.367 0.219 -3.999
```

Output
**M_tot**: 0.000 μB per cell
**N(E_F)**: 0.35 states/eV/cell
**Uncorrected formation energy**: 0.3441 eV per atom